Below is a geometry-optimized SrAs3Pd structure, with properties calculated at the PBE-GGA level.

Calculated values
**Polymorph energy (0 for the lowest one)**: 1831 meV per atom
**Electronic total energy**: -2.871 eV/atom
**DOS at the Fermi energy**: 8.9 states/eV/cell
**DFT formation energy**: 1.294 eV per atom

CIF file:
```
data_SrAs3Pd
_chemical_formula_sum 'Sr1 As3 Pd1'
_cell_length_a 5.562
_cell_length_b 5.562
_cell_length_c 5.562
_cell_angle_alpha 90.00
_cell_angle_beta 90.00
_cell_angle_gamma 90.00
_space_group_name_H-M_alt 'P m -3 m'
_space_group_IT_number 221
_space_group_name_Hall '-P 4 2 3'
loop_
_atom_site_label
_atom_site_type_symbol
_atom_site_fract_x
_atom_site_fract_y
_atom_site_fract_z
_atom_site_occupancy
Sr1 Sr 0.000 0.000 0.000 1
As1 As 0.000 0.000 0.500 1
Pd1 Pd 0.500 0.500 0.500 1
```